VASP calculation (GGA-PBE) on a relaxed Pm2Ho2Er2In crystal. Values from VASP.

Calculated values
Final energy, eV per atom: -4.39
ΔH_f (0 K), eV/f.u.: -0.2

Cell and atoms, written as Quantum ESPRESSO input:
```
&SYSTEM
  ibrav = 0, nat = 7, ntyp = 4
/
ATOMIC_SPECIES
Pm 145.00 Pm.upf
Ho 164.93 Ho.upf
Er 167.26 Er.upf
In 114.82 In.upf
CELL_PARAMETERS angstrom
2.8980 -2.8963 0.0000
2.8980 2.8963 0.0000
-2.8798 0.0000 12.8381
ATOMIC_POSITIONS crystal
Pm 0.2082 0.2082 0.4178
Pm 0.7918 0.7918 0.5822
Ho 0.0646 0.0646 0.1291
Ho 0.9354 0.9354 0.8709
Er 0.3642 0.3642 0.7262
Er 0.6358 0.6358 0.2738
In 0.5000 0.5000 0.0000
```